# 1
Density functional theory data (PBE-GGA) for a geometry-optimized Ba2MgGa4Pd3 structure.

a b c (Å): 4.521 4.521 11.107
angles (deg): 90.00 90.00 90.00
Sites, in units of the cell vectors:
Pd  0.500  0.000  0.881
Pd  0.000  0.000  0.500
Ba  0.500  0.000  0.243
Ga  0.500  0.000  0.636
Ba  0.000  0.500  0.757
Pd  0.000  0.500  0.119
Mg  0.500  0.500  0.500
Ga  0.000  0.500  0.364
Ga  0.000  0.000  0.000
Ga  0.500  0.500  0.000

- Crystal system: tetragonal
- Energy of formation from the pure elements: -0.556 eV per atom
- Electronic total energy: -38.68 eV per formula unit
- Spin magnetization: 0.00 μB/f.u.

---

# 2
Density functional theory data (PBE-GGA) for a geometry-optimized BaPrMgGa structure.

a b c (Å): 5.639 5.639 5.639
angles (deg): 60.00 60.00 60.00
Sites, in units of the cell vectors:
Pr  0.000  0.000  0.000
Ba  0.500  0.500  0.500
Mg  0.750  0.750  0.750
Ga  0.250  0.250  0.250

- Crystal system: cubic
- Energy of formation from the pure elements: -0.153 eV per atom
- Electronic total energy: -11.93 eV per formula unit
- Spin magnetization: 0.00 μB/f.u.

---

# 3
Density functional theory data (PBE-GGA) for a geometry-optimized Ba2MgGa3Pt4 structure.

a b c (Å): 4.522 4.522 10.697
angles (deg): 90.00 90.00 90.00
Sites, in units of the cell vectors:
Ba  0.000  0.500  0.758
Mg  0.500  0.500  0.500
Ga  0.000  0.000  0.500
Ga  0.000  0.500  0.118
Pt  0.500  0.000  0.634
Pt  0.500  0.500  0.000
Ba  0.500  0.000  0.242
Ga  0.500  0.000  0.882
Pt  0.000  0.500  0.366
Pt  0.000  0.000  0.000

- Crystal system: tetragonal
- Energy of formation from the pure elements: -0.803 eV per atom
- Electronic total energy: -46.72 eV per formula unit
- Spin magnetization: 0.00 μB/f.u.

---

# 4
Density functional theory data (PBE-GGA) for a geometry-optimized BaMgGa2Pt structure.

a b c (Å): 4.600 4.592 6.420
angles (deg): 110.95 110.99 90.00
Sites, in units of the cell vectors:
Ba  0.445  0.445  0.890
Mg  0.197  0.697  0.393
Pt  0.819  0.819  0.639
Ga  0.050  0.050  0.101
Ga  0.701  0.201  0.402

- Crystal system: orthorhombic
- Energy of formation from the pure elements: -0.601 eV per atom
- Electronic total energy: -18.62 eV per formula unit
- Spin magnetization: 0.00 μB/f.u.
- Polymorph energy (0 for the lowest one): 0 meV per atom

---

# 5
Density functional theory data (PBE-GGA) for a geometry-optimized BaMgGaPt structure.

a b c (Å): 4.343 4.343 12.752
angles (deg): 90.00 90.00 90.00
Sites, in units of the cell vectors:
Mg  0.250  0.750  0.500
Pt  0.750  0.750  0.895
Pt  0.250  0.250  0.105
Ga  0.750  0.250  0.000
Ba  0.750  0.750  0.229
Ga  0.250  0.750  0.000
Mg  0.750  0.250  0.500
Ba  0.250  0.250  0.771

- Crystal system: tetragonal
- Energy of formation from the pure elements: -0.442 eV per atom
- Electronic total energy: -14.35 eV per formula unit
- Spin magnetization: 0.00 μB/f.u.

---

# 6
Density functional theory data (PBE-GGA) for a geometry-optimized Ba3Mg2Ga4Pt2 structure.

a b c (Å): 4.454 4.454 18.174
angles (deg): 90.00 90.00 120.00
Sites, in units of the cell vectors:
Ga  0.333  0.667  0.868
Ga  0.333  0.667  0.391
Ba  0.000  0.000  0.000
Mg  0.667  0.333  0.450
Pt  0.667  0.333  0.868
Mg  0.333  0.667  0.550
Pt  0.333  0.667  0.132
Ga  0.667  0.333  0.132
Ba  0.000  0.000  0.262
Ga  0.667  0.333  0.609
Ba  0.000  0.000  0.738

- Crystal system: trigonal
- Energy of formation from the pure elements: -0.448 eV per atom
- Electronic total energy: -38.07 eV per formula unit
- Spin magnetization: 0.00 μB/f.u.

---

# 7
Density functional theory data (PBE-GGA) for a geometry-optimized BaMgGaPt2 structure.

a b c (Å): 4.384 4.384 6.588
angles (deg): 109.43 109.43 90.00
Sites, in units of the cell vectors:
Pt  0.378  0.378  0.757
Ba  0.000  0.000  0.000
Ga  0.250  0.750  0.500
Pt  0.622  0.622  0.243
Mg  0.750  0.250  0.500

- Crystal system: tetragonal
- Energy of formation from the pure elements: -0.786 eV per atom
- Electronic total energy: -22.56 eV per formula unit
- Spin magnetization: 0.00 μB/f.u.

---

# 8
Density functional theory data (PBE-GGA) for a geometry-optimized BaMgGa2Pt structure.

a b c (Å): 4.938 4.938 5.091
angles (deg): 90.00 90.00 90.00
Sites, in units of the cell vectors:
Ga  0.500  0.000  0.000
Mg  0.000  0.000  0.500
Pt  0.000  0.000  0.000
Ba  0.500  0.500  0.500
Ga  0.000  0.500  0.000

- Crystal system: tetragonal
- Energy of formation from the pure elements: -0.509 eV per atom
- Electronic total energy: -18.16 eV per formula unit
- Spin magnetization: 0.00 μB/f.u.
- Polymorph energy (0 for the lowest one): 92 meV per atom

---

# 9
Density functional theory data (PBE-GGA) for a geometry-optimized BaMg2GaPt structure.

a b c (Å): 5.140 5.140 4.923
angles (deg): 90.00 90.00 90.00
Sites, in units of the cell vectors:
Ga  0.000  0.000  0.500
Mg  0.500  0.000  0.000
Mg  0.000  0.500  0.000
Ba  0.500  0.500  0.500
Pt  0.000  0.000  0.000

- Crystal system: tetragonal
- Energy of formation from the pure elements: -0.511 eV per atom
- Electronic total energy: -16.73 eV per formula unit
- Spin magnetization: 0.00 μB/f.u.

---

# 10
Density functional theory data (PBE-GGA) for a geometry-optimized Ba2MgGaPt structure.

a b c (Å): 6.236 6.236 4.864
angles (deg): 90.00 90.00 90.00
Sites, in units of the cell vectors:
Mg  0.500  0.500  0.500
Pt  0.000  0.000  0.000
Ga  0.000  0.000  0.500
Ba  0.500  0.000  0.000
Ba  0.000  0.500  0.000

- Crystal system: tetragonal
- Energy of formation from the pure elements: -0.387 eV per atom
- Electronic total energy: -16.44 eV per formula unit
- Spin magnetization: 0.00 μB/f.u.

---

# 11
Density functional theory data (PBE-GGA) for a geometry-optimized Ba2MgGa4Pt3 structure.

a b c (Å): 4.483 4.483 11.127
angles (deg): 90.00 90.00 90.00
Sites, in units of the cell vectors:
Ga  0.000  0.000  0.000
Pt  0.000  0.500  0.120
Pt  0.000  0.000  0.500
Mg  0.500  0.500  0.500
Ga  0.500  0.000  0.638
Pt  0.500  0.000  0.880
Ba  0.500  0.000  0.241
Ga  0.500  0.500  0.000
Ga  0.000  0.500  0.362
Ba  0.000  0.500  0.759

- Crystal system: tetragonal
- Energy of formation from the pure elements: -0.681 eV per atom
- Electronic total energy: -42.48 eV per formula unit
- Spin magnetization: 0.00 μB/f.u.

---

# 12
Density functional theory data (PBE-GGA) for a geometry-optimized BaMg2GaRe structure.

a b c (Å): 5.040 6.197 5.040
angles (deg): 90.00 90.00 90.00
Site moments in Bohr magnetons follow the coordinates.
Sites, in units of the cell vectors:
Ga  0.000  0.000  0.000  0.06
Re  0.500  0.500  0.500  3.14
Mg  0.500  0.000  0.000  0.00
Mg  0.000  0.000  0.500  -0.01
Ba  0.000  0.500  0.000  -0.04

- Crystal system: tetragonal
- Energy of formation from the pure elements: 1.109 eV per atom
- Electronic total energy: -15.04 eV per formula unit
- Spin magnetization: 3.63 μB/f.u.